Record 1
SrBPSe2 | PBE | relaxed

abc: 4.4028 4.4028 5.5852
angles: 90.00 90.00 90.00
With the nearest neighbours (Å) after each atom.
Space group P4/mmm (No. 123)
One atom of each set of equivalent atoms:
Sr: 0.0000 0.0000 0.0000 [1 per cell]  2 B 2.79, 4 P 3.11
B: 0.0000 0.0000 0.5000 [1 per cell]  4 Se 2.20
P: 0.5000 0.5000 0.0000 [1 per cell]  4 Sr 3.11
Se: 0.0000 0.5000 0.5000 [2 per cell]  2 B 2.20

Results
As for the polymorph energy (0 for the lowest one): 530 meV per atom. For the total energy, the calculation gives -0.1397 hartree per atom. The value obtained for the spin magnetization is 0.00 μB per cell.

=====

Record 2
SrBPSe2 | PBE | relaxed

abc: 5.1706 5.1706 3.9344
angles: 90.00 90.00 90.00
With the nearest neighbours (Å) after each atom.
Space group P4/mmm (No. 123)
One atom of each set of equivalent atoms:
Sr: 0.0000 0.0000 0.0000 [1 per cell]  8 Se 3.25
B: 0.5000 0.5000 0.0000 [1 per cell]  2 P 1.97
P: 0.5000 0.5000 0.5000 [1 per cell]  2 B 1.97
Se: 0.0000 0.5000 0.5000 [2 per cell]  2 P 2.59

Results
As for the polymorph energy (0 for the lowest one): 0 meV per atom. For the total energy, the calculation gives -0.1591 hartree per atom. The value obtained for the spin magnetization is 0.00 μB per cell.

=====

Record 3
BTeP2Se | PBE | relaxed

abc: 5.1610 5.1610 4.3550
angles: 90.00 90.00 90.00
With the nearest neighbours (Å) after each atom.
Space group P4/mmm (No. 123)
One atom of each set of equivalent atoms:
B: 0.0000 0.0000 0.0000 [1 per cell]  2 Te 2.18
Te: 0.0000 0.0000 0.5000 [1 per cell]  2 B 2.18
P: 0.0000 0.5000 0.5000 [2 per cell]  2 Te 2.58
Se: 0.5000 0.5000 0.0000 [1 per cell]  8 P 3.38, 4 B 3.65

Results
For the total energy, the calculation gives -0.1167 hartree per atom. The value obtained for the spin magnetization is 0.00 μB per cell.

=====

Record 4
Th4BPSe2 | PBE | relaxed

abc: 7.1271 4.0888 7.3295
angles: 90.00 108.72 90.00
With the nearest neighbours (Å) after each atom.
Space group P2/m (No. 10)
One atom of each set of equivalent atoms:
Th: 0.2242 0.0000 0.2120 [2 per cell]  2 B 2.75, 1 P 2.87, 1 Se 3.03
Th: 0.2461 0.5000 0.7802 [2 per cell]  1 B 2.74, 2 P 2.86, 2 Se 3.03
B: 0.0000 0.5000 0.0000 [1 per cell]  6 Th 2.74-2.75
P: 0.5000 0.0000 0.0000 [1 per cell]  6 Th 2.86-2.87
Se: 0.0000 0.0000 0.5000 [1 per cell]  6 Th 3.03
Se: 0.5000 0.5000 0.5000 [1 per cell]  6 Th 3.14

Results
For the total energy, the calculation gives -0.2711 hartree per atom. The value obtained for the spin magnetization is 0.00 μB per cell.

=====

Record 5
Th6BP2Se3 | PBE | relaxed

abc: 18.2590 4.1122 8.4213
angles: 90.00 104.92 90.00
With the nearest neighbours (Å) after each atom.
Space group C2/m (No. 12)
One atom of each set of equivalent atoms:
Th: 0.0039 0.0000 0.2199 [4 per cell]  2 B 2.76, 1 P 2.87, 1 Se 3.06
Th: 0.1541 0.5000 0.0906 [4 per cell]  1 B 2.72, 2 P 2.87, 2 Se 3.04
Th: 0.1707 0.5000 0.5705 [4 per cell]  3 P 2.86-2.87, 3 Se 3.02-3.04
B: 0.0000 0.5000 0.0000 [2 per cell]  6 Th 2.72-2.76
P: 0.1664 0.0000 0.3330 [4 per cell]  6 Th 2.86-2.87
Se: 0.0000 0.5000 0.5000 [2 per cell]  6 Th 3.02-3.14
Se: 0.1686 0.0000 0.8346 [4 per cell]  6 Th 3.04-3.13

Results
For the total energy, the calculation gives -0.2731 hartree per atom. The value obtained for the spin magnetization is 0.00 μB per cell.

=====

Record 6
SiBP | PBE | relaxed

abc: 11.3208 3.3953 4.8579
angles: 90.00 115.21 90.00
With the nearest neighbours (Å) after each atom.
Space group Cm (No. 8)
One atom of each set of equivalent atoms:
Si: 0.0000 0.0000 0.0000 [2 per cell]  3 B 2.03-2.05
Si: 0.1840 0.5000 0.7602 [2 per cell]  2 B 2.01-2.04
B: 0.0107 0.5000 0.7838 [2 per cell]  1 P 1.94, 3 Si 2.01-2.03
B: 0.3543 0.5000 0.1453 [2 per cell]  2 P 2.01, 2 Si 2.04-2.05
P: 0.1865 0.0000 0.4538 [2 per cell]  1 P 2.23, 3 Si 2.27-2.31
P: 0.3677 0.0000 0.3786 [2 per cell]  3 B 1.94-2.01

Results
As for the polymorph energy (0 for the lowest one): 31 meV per atom. For the total energy, the calculation gives -0.2195 hartree per atom. The value obtained for the spin magnetization is 0.00 μB per cell.

=====

Record 7
SiBP | PBE | relaxed

abc: 3.3934 3.3934 8.6399
angles: 90.00 90.00 120.00
With the nearest neighbours (Å) after each atom.
Space group P3m1 (No. 156)
One atom of each set of equivalent atoms:
Si: 0.0000 0.0000 0.0000 [1 per cell]  3 B 2.02
Si: 0.3333 0.6667 0.5958 [1 per cell]  4 P 2.24-2.26
B: 0.6667 0.3333 0.0549 [1 per cell]  1 B 1.77
B: 0.6667 0.3333 0.2598 [1 per cell]  1 B 1.77
P: 0.0000 0.0000 0.7205 [1 per cell]  4 Si 2.24-2.42
P: 0.3333 0.6667 0.3336 [1 per cell]  3 B 2.06, 1 Si 2.26

Results
As for the polymorph energy (0 for the lowest one): 175 meV per atom. For the total energy, the calculation gives -0.2143 hartree per atom. The value obtained for the spin magnetization is 0.00 μB per cell.

=====

Record 8
SiB2P | PBE | relaxed

abc: 3.1757 3.1757 4.8629
angles: 90.00 90.00 90.00
With the nearest neighbours (Å) after each atom.
Space group P-4m2 (No. 115)
One atom of each set of equivalent atoms:
Si: 0.0000 0.0000 0.0000 [1 per cell]  4 B 2.06
B: 0.0000 0.5000 0.2685 [2 per cell]  2 P 1.95, 2 Si 2.06
P: 0.5000 0.5000 0.5000 [1 per cell]  4 B 1.95

Results
As for the polymorph energy (0 for the lowest one): 0 meV per atom. For the total energy, the calculation gives -0.2232 hartree per atom. The value obtained for the spin magnetization is 0.00 μB per cell.